First-principles (PBE-GGA) data for an optimized crystal structure of HfRh3I, as listed in the Alexandria database.

Unit cell a=4.8528 b=4.8528 c=4.8528 alpha=90.00 beta=90.00 gamma=90.00
With the nearest neighbours (Å) after each atom.
Sites, in units of the cell vectors:
Hf: 0.0000 0.0000 0.0000  6 Rh 2.43
Rh: 0.0000 0.0000 0.5000  2 Hf 2.43
Rh: 0.0000 0.5000 0.0000  2 Hf 2.43
Rh: 0.5000 0.0000 0.0000  2 Hf 2.43
I: 0.5000 0.5000 0.5000  12 Rh 3.43

Results
space group: Pm-3m
DFT total energy: -29.5 eV/cell
raw formation energy: 79 kJ per mole of atoms
crystal system: cubic
spin magnetization: 0.00 μB per formula unit